# AcV2ZnO8, optimized geometry, DFT GGA+U
# - Symmetry: I-4m2, No. 119
# - Total energy: -6.90 eV per atom
# - DOS(E_F): 0.702 states/eV per atom
# - Total magnetization: 1.0 μB/cell
data_AcV2ZnO8
_cell_length_a 6.155
_cell_length_b 6.155
_cell_length_c 6.155
_cell_angle_alpha 107.06
_cell_angle_beta 107.06
_cell_angle_gamma 114.41
_space_group_name_H-M_alt 'P 1'
_space_group_IT_number 1
loop_
_space_group_symop_operation_xyz
'x,y,z'
loop_
_atom_site_label
_atom_site_fract_x
_atom_site_fract_y
_atom_site_fract_z
_atom_site_occupancy
Ac1 0.000 0.000 0.000 1
V1 0.750 0.250 0.500 1
V2 0.500 0.500 0.000 1
Zn1 0.250 0.750 0.500 1
O1 0.401 0.078 0.323 1
O2 0.341 0.533 0.192 1
O3 0.341 0.149 0.808 1
O4 0.756 0.078 0.677 1
O5 0.851 0.659 0.192 1
O6 0.922 0.244 0.323 1
O7 0.922 0.599 0.677 1
O8 0.467 0.659 0.808 1